Entry 1:
# BaTl4Br PBE-GGA relaxed
# Fermi-level density of states (states/eV/f.u.): 6.03
# Formation energy (no corrections) (kJ/mol of atoms): -29.5
# Calculated total energy (eV per atom): -2.482
data_BaTl4Br
_symmetry_space_group_name_H-M 'F -4 3 m'
_symmetry_Int_Tables_number 216
_symmetry_space_group_name_Hall 'F -4 2 3'
_cell_length_a 9.355
_cell_length_b 9.355
_cell_length_c 9.355
_cell_angle_alpha 90.00
_cell_angle_beta 90.00
_cell_angle_gamma 90.00
loop_
_atom_site_label
_atom_site_type_symbol
_atom_site_fract_x
_atom_site_fract_y
_atom_site_fract_z
Ba1 Ba 0.000 0.000 0.000
Tl1 Tl 0.125 0.125 0.375
Br1 Br 0.250 0.250 0.750

=====

Entry 2:
# CaTiCu4 PBE-GGA relaxed
# Fermi-level density of states (states/eV/f.u.): 6.27
# Calculated total energy (eV per atom): -4.313
# Energy of formation from the pure elements (eV/atom): 0.07
data_CaTiCu4
_symmetry_space_group_name_H-M 'F -4 3 m'
_symmetry_Int_Tables_number 216
_symmetry_space_group_name_Hall 'F -4 2 3'
_cell_length_a 7.196
_cell_length_b 7.196
_cell_length_c 7.196
_cell_angle_alpha 90.00
_cell_angle_beta 90.00
_cell_angle_gamma 90.00
loop_
_atom_site_label
_atom_site_type_symbol
_atom_site_fract_x
_atom_site_fract_y
_atom_site_fract_z
Ca1 Ca 0.000 0.000 0.000
Ti1 Ti 0.250 0.250 0.750
Cu1 Cu 0.124 0.124 0.376

=====

Entry 3:
# Pm3Hf5Tl12 PBE-GGA relaxed
# Fermi-level density of states (states/eV/f.u.): 22.21
# Calculated total energy (eV per atom): -3.995
# Energy of formation from the pure elements (eV/atom): 0.63
data_Pm3Hf5Tl12
_symmetry_space_group_name_H-M 'I a -3 d'
_symmetry_Int_Tables_number 230
_symmetry_space_group_name_Hall '-I 4bd 2c 3'
_cell_length_a 17.486
_cell_length_b 17.486
_cell_length_c 17.486
_cell_angle_alpha 90.00
_cell_angle_beta 90.00
_cell_angle_gamma 90.00
loop_
_atom_site_label
_atom_site_type_symbol
_atom_site_fract_x
_atom_site_fract_y
_atom_site_fract_z
Pm1 Pm 0.000 0.250 0.125
Hf1 Hf 0.000 0.000 0.000
Hf2 Hf 0.000 0.250 0.375
Tl1 Tl 0.021 0.072 0.647